(1)
Here is a relaxed structure of TbPm3SmTm from Alexandria via LeMat-Bulk. Energies are from PBE.

```
data_TbPm3SmTm
_cell_length_a 8.049
_cell_length_b 5.109
_cell_length_c 10.191
_cell_angle_alpha 90.00
_cell_angle_beta 108.54
_cell_angle_gamma 90.00
_space_group_name_H-M_alt 'P 1 21/m 1'
_space_group_IT_number 11
_space_group_name_Hall '-P 2yb'
loop_
_atom_site_label
_atom_site_type_symbol
_atom_site_fract_x
_atom_site_fract_y
_atom_site_fract_z
_atom_site_occupancy
Tb1 Tb 0.001 0.250 0.374 1
Pm1 Pm 0.330 0.750 0.958 1
Pm2 Pm 0.331 0.250 0.708 1
Pm3 Pm 0.331 0.750 0.457 1
Sm1 Sm 0.330 0.250 0.207 1
Tm1 Tm 0.000 0.250 0.876 1
```

Calculated values
Formation energy ... 2.0 kJ/mol of atoms
Total moment ... 0.00 μB/f.u.



(2)
Here is a relaxed structure of TbPm2Sm4Tm from Alexandria via LeMat-Bulk. Energies are from PBE.

```
data_TbPm2Sm4Tm
_cell_length_a 13.707
_cell_length_b 13.311
_cell_length_c 6.873
_cell_angle_alpha 90.00
_cell_angle_beta 119.93
_cell_angle_gamma 90.00
_space_group_name_H-M_alt 'C 1 2/c 1'
_space_group_IT_number 15
_space_group_name_Hall '-C 2yc'
loop_
_atom_site_label
_atom_site_type_symbol
_atom_site_fract_x
_atom_site_fract_y
_atom_site_fract_z
_atom_site_occupancy
Tb1 Tb 0.250 0.250 0.000 1
Pm1 Pm 0.000 0.000 0.000 1
Pm2 Pm 0.250 0.250 0.500 1
Sm1 Sm 0.003 0.255 0.502 1
Sm2 Sm 0.247 0.499 0.978 1
Tm1 Tm 0.000 0.500 0.000 1
```

Calculated values
Formation energy ... 38.8 kJ/mol of atoms
Total moment ... 0.07 μB/f.u.



(3)
Here is a relaxed structure of Tb3PmSmTm from Alexandria via LeMat-Bulk. Energies are from PBE.

```
data_Tb3PmSmTm
_cell_length_a 5.817
_cell_length_b 11.522
_cell_length_c 11.589
_cell_angle_alpha 90.00
_cell_angle_beta 90.00
_cell_angle_gamma 90.00
_space_group_name_H-M_alt 'C m c m'
_space_group_IT_number 63
_space_group_name_Hall '-C 2c 2'
loop_
_atom_site_label
_atom_site_type_symbol
_atom_site_fract_x
_atom_site_fract_y
_atom_site_fract_z
_atom_site_occupancy
Tb1 Tb 0.000 0.144 0.250 1
Tb2 Tb 0.000 0.326 0.026 1
Pm1 Pm 0.000 0.473 0.750 1
Sm1 Sm 0.000 0.000 0.000 1
Tm1 Tm 0.000 0.170 0.750 1
```

Calculated values
Formation energy ... 12.3 kJ/mol of atoms
Total moment ... 0.00 μB/f.u.



(4)
Here is a relaxed structure of TbPm2Sm2Tm from Alexandria via LeMat-Bulk. Energies are from PBE.

```
data_TbPm2Sm2Tm
_cell_length_a 7.050
_cell_length_b 5.679
_cell_length_c 9.832
_cell_angle_alpha 90.00
_cell_angle_beta 90.00
_cell_angle_gamma 90.00
_space_group_name_H-M_alt 'P m m a'
_space_group_IT_number 51
_space_group_name_Hall '-P 2a 2a'
loop_
_atom_site_label
_atom_site_type_symbol
_atom_site_fract_x
_atom_site_fract_y
_atom_site_fract_z
_atom_site_occupancy
Tb1 Tb 0.250 0.000 0.157 1
Pm1 Pm 0.250 0.000 0.829 1
Pm2 Pm 0.250 0.500 0.339 1
Sm1 Sm 0.000 0.000 0.500 1
Sm2 Sm 0.250 0.500 0.678 1
Tm1 Tm 0.000 0.500 0.000 1
```

Calculated values
Formation energy ... 5.8 kJ/mol of atoms
Total moment ... 0.00 μB/f.u.